(1)
# GGA-PBE NaCaZnO2, relaxed
data_NaCaZnO2
_chemical_formula_sum 'Na2 Ca2 Zn2 O4'
_space_group_name_H-M_alt 'P 1 2/c 1'
_space_group_IT_number 13
_cell_length_a 6.8755
_cell_length_b 6.0379
_cell_length_c 6.7772
_cell_angle_alpha 90.00
_cell_angle_beta 119.45
_cell_angle_gamma 90.00
loop_
_space_group_symop_operation_xyz
'x,y,z'
'-x,-y,-z'
'-x,y,-z+1/2'
'x,-y,z+1/2'
loop_
_atom_site_label
_atom_site_fract_x
_atom_site_fract_y
_atom_site_fract_z
Na1 0.0000 0.2063 0.2500
Ca1 0.5000 0.5000 0.2500
Zn1 0.5000 0.0000 0.0000
O1 0.3730 0.2769 0.4367
# V: 245.0 Å³ per cell
# formation energy from raw total energies: -1.57 eV/atom
# D(E_F): 2.92 states/eV/cell

---

(2)
# GGA-PBE Na2Ca3ZrO6, relaxed
data_Na2Ca3ZrO6
_chemical_formula_sum 'Na4 Ca6 Zr2 O12'
_space_group_name_H-M_alt 'C 1 2/m 1'
_space_group_IT_number 12
_cell_length_a 5.8971
_cell_length_b 10.1221
_cell_length_c 5.7526
_cell_angle_alpha 90.00
_cell_angle_beta 110.35
_cell_angle_gamma 90.00
loop_
_space_group_symop_operation_xyz
'x,y,z'
'-x,-y,-z'
'-x,y,-z'
'x,-y,z'
'x+1/2,y+1/2,z'
'-x+1/2,-y+1/2,-z'
'-x+1/2,y+1/2,-z'
'x+1/2,-y+1/2,z'
loop_
_atom_site_label
_atom_site_fract_x
_atom_site_fract_y
_atom_site_fract_z
Na1 0.0000 0.1657 0.0000
Ca1 0.0000 0.0000 0.5000
Ca2 0.0000 0.3295 0.5000
Zr1 0.0000 0.5000 0.0000
O1 0.2144 0.5000 0.7620
O2 0.2302 0.3507 0.2462
# V: 321.9 Å³ per cell
# formation energy from raw total energies: -2.72 eV/atom
# D(E_F): 0.00 states/eV/cell

---

(3)
# GGA-PBE Na3CaOs, relaxed
data_Na3CaOs
_chemical_formula_sum 'Na3 Ca1 Os1'
_space_group_name_H-M_alt 'P m -3 m'
_space_group_IT_number 221
_space_group_name_Hall '-P 4 2 3'
_cell_length_a 5.6638
_cell_length_b 5.6638
_cell_length_c 5.6638
_cell_angle_alpha 90.00
_cell_angle_beta 90.00
_cell_angle_gamma 90.00
loop_
_atom_site_label
_atom_site_fract_x
_atom_site_fract_y
_atom_site_fract_z
Na1 0.0000 0.0000 0.5000
Ca1 0.0000 0.0000 0.0000
Os1 0.5000 0.5000 0.5000
# V: 181.7 Å³ per cell
# E_form: 1.88 eV/atom
# D(E_F): 8.25 states/eV/cell
# offset from the most stable computed form: 764.7 meV per atom

---

(4)
# GGA-PBE NaCaOs2, relaxed
data_NaCaOs2
_chemical_formula_sum 'Na4 Ca4 Os8'
_space_group_name_H-M_alt 'F m -3 m'
_space_group_IT_number 225
_space_group_name_Hall '-F 4 2 3'
_cell_length_a 6.7034
_cell_length_b 6.7034
_cell_length_c 6.7034
_cell_angle_alpha 90.00
_cell_angle_beta 90.00
_cell_angle_gamma 90.00
loop_
_atom_site_label
_atom_site_fract_x
_atom_site_fract_y
_atom_site_fract_z
Na1 0.0000 0.0000 0.0000
Ca1 0.0000 0.0000 0.5000
Os1 0.2500 0.2500 0.2500
# V: 301.2 Å³ per cell
# E_form: 1.48 eV/atom
# D(E_F): 24.89 states/eV/cell
# offset from the most stable computed form: 229.1 meV per atom

---

(5)
# GGA-PBE Na3CaOs, relaxed
data_Na3CaOs
_chemical_formula_sum 'Na3 Ca1 Os1'
_space_group_name_H-M_alt 'P m -3 m'
_space_group_IT_number 221
_space_group_name_Hall '-P 4 2 3'
_cell_length_a 5.4880
_cell_length_b 5.4880
_cell_length_c 5.4880
_cell_angle_alpha 90.00
_cell_angle_beta 90.00
_cell_angle_gamma 90.00
loop_
_atom_site_label
_atom_site_fract_x
_atom_site_fract_y
_atom_site_fract_z
Na1 0.0000 0.0000 0.5000
Ca1 0.5000 0.5000 0.5000
Os1 0.0000 0.0000 0.0000
# V: 165.3 Å³ per cell
# E_form: 1.12 eV/atom
# D(E_F): 2.28 states/eV/cell
# offset from the most stable computed form: 0.0 meV per atom

---

(6)
# GGA-PBE NaCaOs3, relaxed
data_NaCaOs3
_chemical_formula_sum 'Na1 Ca1 Os3'
_space_group_name_H-M_alt 'P m -3 m'
_space_group_IT_number 221
_space_group_name_Hall '-P 4 2 3'
_cell_length_a 4.6295
_cell_length_b 4.6295
_cell_length_c 4.6295
_cell_angle_alpha 90.00
_cell_angle_beta 90.00
_cell_angle_gamma 90.00
loop_
_atom_site_label
_atom_site_fract_x
_atom_site_fract_y
_atom_site_fract_z
Na1 0.0000 0.0000 0.0000
Ca1 0.5000 0.5000 0.5000
Os1 0.0000 0.0000 0.5000
# V: 99.2 Å³ per cell
# E_form: 2.55 eV/atom
# D(E_F): 8.22 states/eV/cell
# offset from the most stable computed form: 0.0 meV per atom

---

(7)
# GGA-PBE NaCaOs2, relaxed
data_NaCaOs2
_chemical_formula_sum 'Na4 Ca4 Os8'
_space_group_name_H-M_alt 'I -4 2 d'
_space_group_IT_number 122
_space_group_name_Hall 'I -4 2bw'
_cell_length_a 8.0735
_cell_length_b 8.0735
_cell_length_c 4.9623
_cell_angle_alpha 90.00
_cell_angle_beta 90.00
_cell_angle_gamma 90.00
loop_
_atom_site_label
_atom_site_fract_x
_atom_site_fract_y
_atom_site_fract_z
Na1 0.0000 0.0000 0.0000
Ca1 0.0000 0.0000 0.5000
Os1 0.2285 0.2500 0.1250
# V: 323.4 Å³ per cell
# E_form: 1.25 eV/atom
# D(E_F): 13.12 states/eV/cell
# offset from the most stable computed form: 0.0 meV per atom

---

(8)
# GGA-PBE NaCaSn2Os, relaxed
data_NaCaSn2Os
_chemical_formula_sum 'Na1 Ca1 Sn2 Os1'
_space_group_name_H-M_alt 'P 4/m m m'
_space_group_IT_number 123
_space_group_name_Hall '-P 4 2'
_cell_length_a 5.7636
_cell_length_b 5.7636
_cell_length_c 5.0398
_cell_angle_alpha 90.00
_cell_angle_beta 90.00
_cell_angle_gamma 90.00
loop_
_atom_site_label
_atom_site_fract_x
_atom_site_fract_y
_atom_site_fract_z
Na1 0.0000 0.0000 0.0000
Ca1 0.5000 0.5000 0.5000
Sn1 0.0000 0.5000 0.5000
Os1 0.5000 0.5000 0.0000
# V: 167.4 Å³ per cell
# E_form: 1.27 eV/atom
# D(E_F): 4.96 states/eV/cell